(1)
Here is a geometry-optimized Ac2PaPt structure from Alexandria. Energies are from GGA-PBE.

a b c (Å): 3.8191 3.8191 32.9206
angles (deg): 90.00 90.00 120.00
Element x y z (fractional)
Ac: 0.0000 0.0000 0.1052
Ac: 0.0000 0.0000 0.8948
Ac: 0.3333 0.6667 0.5615
Ac: 0.3333 0.6667 0.7718
Ac: 0.6667 0.3333 0.2282
Ac: 0.6667 0.3333 0.4385
Pa: 0.0000 0.0000 0.0000
Pa: 0.3333 0.6667 0.6667
Pa: 0.6667 0.3333 0.3333
Pt: 0.0000 0.0000 0.5000
Pt: 0.3333 0.6667 0.1667
Pt: 0.6667 0.3333 0.8333

Values from the calculation:
The calculation puts the formation enthalpy at 0 K at 0.16 eV per atom. The calculation puts the magnetization at 1.6 μB/f.u.

(2)
Here is a geometry-optimized AcPaPt structure from Alexandria. Energies are from GGA-PBE.

a b c (Å): 4.7030 4.7030 4.7594
angles (deg): 90.00 90.00 120.00
Element x y z (fractional)
Ac: 0.0000 0.0000 0.0000
Pa: 0.6667 0.3333 0.5000
Pt: 0.3333 0.6667 0.5000

Values from the calculation:
The calculation puts the formation enthalpy at 0 K at -0.34 eV per atom. The calculation puts the magnetization at 0.0 μB/f.u.

(3)
Here is a geometry-optimized AcPaPt2 structure from Alexandria. Energies are from GGA-PBE.

a b c (Å): 3.6392 3.6392 7.4567
angles (deg): 90.00 90.00 90.00
Element x y z (fractional)
Ac: 0.0000 0.0000 0.0000
Pa: 0.0000 0.0000 0.5000
Pt: 0.5000 0.5000 0.3009
Pt: 0.5000 0.5000 0.6991

Values from the calculation:
The calculation puts the formation enthalpy at 0 K at -0.90 eV per atom. The calculation puts the magnetization at 0.0 μB/f.u.

(4)
Here is a geometry-optimized Ac2Pa2Pt15 structure from Alexandria. Energies are from GGA-PBE.

a b c (Å): 7.2044 7.2044 7.2044
angles (deg): 81.74 81.74 81.74
Element x y z (fractional)
Ac: 0.1440 0.1440 0.1440
Ac: 0.8560 0.8560 0.8560
Pa: 0.3979 0.3979 0.3979
Pa: 0.6021 0.6021 0.6021
Pt: 0.0000 0.5000 0.5000
Pt: 0.1548 0.1548 0.6524
Pt: 0.1548 0.6524 0.1548
Pt: 0.1972 0.5000 0.8028
Pt: 0.1972 0.8028 0.5000
Pt: 0.3476 0.8452 0.8452
Pt: 0.5000 0.0000 0.5000
Pt: 0.5000 0.1972 0.8028
Pt: 0.5000 0.5000 0.0000
Pt: 0.5000 0.8028 0.1972
Pt: 0.6524 0.1548 0.1548
Pt: 0.8028 0.1972 0.5000
Pt: 0.8028 0.5000 0.1972
Pt: 0.8452 0.3476 0.8452
Pt: 0.8452 0.8452 0.3476

Values from the calculation:
The calculation puts the formation enthalpy at 0 K at -0.73 eV per atom. The calculation puts the magnetization at 0.0 μB/f.u.

(5)
Here is a geometry-optimized AcPaPt2 structure from Alexandria. Energies are from GGA-PBE.

a b c (Å): 4.1123 4.1123 22.1676
angles (deg): 90.00 90.00 120.00
Element x y z (fractional)
Ac: 0.0000 0.0000 0.0000
Ac: 0.3333 0.6667 0.6667
Ac: 0.6667 0.3333 0.3333
Pa: 0.0000 0.0000 0.8283
Pa: 0.3333 0.6667 0.4950
Pa: 0.6667 0.3333 0.1616
Pt: 0.0000 0.0000 0.2338
Pt: 0.0000 0.0000 0.4245
Pt: 0.3333 0.6667 0.0911
Pt: 0.3333 0.6667 0.9004
Pt: 0.6667 0.3333 0.5671
Pt: 0.6667 0.3333 0.7578

Values from the calculation:
The calculation puts the formation enthalpy at 0 K at -0.95 eV per atom. The calculation puts the magnetization at 0.0 μB/f.u.

(6)
Here is a geometry-optimized AcPaPt2 structure from Alexandria. Energies are from GGA-PBE.

a b c (Å): 4.1080 4.1080 21.9416
angles (deg): 90.00 90.00 120.00
Element x y z (fractional)
Ac: 0.0000 0.0000 0.0000
Ac: 0.3333 0.6667 0.6667
Ac: 0.6667 0.3333 0.3333
Pa: 0.0000 0.0000 0.5000
Pa: 0.3333 0.6667 0.1667
Pa: 0.6667 0.3333 0.8333
Pt: 0.0000 0.0000 0.2391
Pt: 0.0000 0.0000 0.7609
Pt: 0.3333 0.6667 0.4276
Pt: 0.3333 0.6667 0.9057
Pt: 0.6667 0.3333 0.0943
Pt: 0.6667 0.3333 0.5724

Values from the calculation:
The calculation puts the formation enthalpy at 0 K at -1.01 eV per atom. The calculation puts the magnetization at 0.0 μB/f.u.